# 1
The following is a DFT calculation (GGA-PBE) of Rb3Er3SiO8 after structural relaxation.

Properties
Uncorrected formation energy: -2.618 eV/atom
Spin magnetization: 0.0 Bohr magnetons per cell
Space group: No. 166

a b c (Å): 7.6193 7.6193 7.6193
angles (deg): 51.41 51.41 51.41
Fractional coordinates of all 15 atoms:
1 Rb 0.0000 0.5000 0.5000
2 Rb 0.5000 0.0000 0.5000
3 Rb 0.5000 0.5000 0.0000
4 Er 0.0000 0.0000 0.5000
5 Er 0.0000 0.5000 0.0000
6 Er 0.5000 0.0000 0.0000
7 Si 0.5000 0.5000 0.5000
8 O 0.2237 0.2237 0.2237
9 O 0.2689 0.6929 0.6929
10 O 0.3071 0.3071 0.7311
11 O 0.3071 0.7311 0.3071
12 O 0.6929 0.2689 0.6929
13 O 0.6929 0.6929 0.2689
14 O 0.7311 0.3071 0.3071
15 O 0.7763 0.7763 0.7763



# 2
The following is a DFT calculation (GGA-PBE) of Ca2ZrPb after structural relaxation.

Properties
Energy relative to the elements: 26 meV/atom
Spin magnetization: 1.9 Bohr magnetons per cell
Space group: No. 119

a b c (Å): 5.9782 5.9782 5.9782
angles (deg): 132.36 132.36 69.66
Fractional coordinates of all 4 atoms:
1 Ca 0.0000 0.0000 0.0000
2 Ca 0.7500 0.2500 0.5000
3 Zr 0.5000 0.5000 0.0000
4 Pb 0.2500 0.7500 0.5000



# 3
The following is a DFT calculation (GGA-PBE) of ScTiAg2Rh after structural relaxation.

Properties
Energy relative to the elements: 857 meV/atom
Spin magnetization: 0.2 Bohr magnetons per cell
Space group: No. 123

a b c (Å): 4.9603 4.9603 4.5341
angles (deg): 90.00 90.00 90.00
Fractional coordinates of all 5 atoms:
1 Sc 0.0000 0.0000 0.0000
2 Ti 0.5000 0.5000 0.5000
3 Ag 0.0000 0.5000 0.0000
4 Ag 0.5000 0.0000 0.0000
5 Rh 0.0000 0.0000 0.5000



# 4
The following is a DFT calculation (GGA-PBE) of CdAg4Pd5 after structural relaxation.

Properties
Energy relative to the elements: 162 meV/atom
Energy above the most stable polymorph in this dataset: 257.1 meV per atom
Spin magnetization: 0.0 Bohr magnetons per cell
Space group: No. 79

a b c (Å): 6.4705 6.4705 6.4705
angles (deg): 99.48 99.48 132.11
Fractional coordinates of all 10 atoms:
1 Cd 0.0000 0.0000 0.0000
2 Ag 0.1836 0.9026 0.6034
3 Ag 0.2992 0.5802 0.3966
4 Ag 0.5802 0.1836 0.2810
5 Ag 0.9026 0.2992 0.7190
6 Pd 0.4768 0.4768 0.0000
7 Pd 0.4947 0.8707 0.8931
8 Pd 0.6016 0.4947 0.6240
9 Pd 0.8707 0.9777 0.3760
10 Pd 0.9777 0.6016 0.1069